# 1
The following is a DFT calculation (PBE-GGA) of a relaxed structure of Pr4NdTm8.

```
Pr4NdTm8
1.0
5.5187 3.1862 4.5111
-5.5187 3.1862 4.5111
0.0000 -6.3725 4.5111
Pr Nd Tm
4 1 8
Cartesian
0.0000 0.0000 0.0000
-2.7594 -1.5931 4.5111
-2.7594 1.5931 9.0221
0.0000 3.1862 4.5111
0.0000 0.0000 6.7666
0.0000 0.0000 3.2372
-2.8765 -1.6608 7.9373
0.0000 -3.3215 5.5959
-2.8765 1.6608 5.5959
2.8765 -1.6608 7.9373
0.0000 3.3215 7.9373
2.8765 1.6608 5.5959
0.0000 0.0000 10.2960
```

Calculated values
Spin magnetization ... 2.1 μB per formula unit
Symmetry ... R-3m, No. 166
DFT total energy ... -52.750 eV for the cell shown
Formation energy from the elements ... 0.53 eV per atom
ρ ... 7.2 g/cm3


# 2
The following is a DFT calculation (PBE-GGA) of a relaxed structure of Pr4Nd2Tm3.

```
Pr4Nd2Tm3
1.0
4.9728 -2.8669 0.0000
4.9728 2.8669 0.0000
-0.0170 0.0000 10.6482
Pr Nd Tm
4 2 3
Cartesian
9.9428 0.0000 1.7059
-0.0141 0.0000 8.9423
3.3037 0.0000 7.1072
6.6250 0.0000 3.5410
3.3100 0.0000 3.5311
6.6186 0.0000 7.1171
-0.0085 0.0000 5.3241
3.2993 0.0000 10.6432
6.6293 0.0000 0.0050
```

Calculated values
Spin magnetization ... 0.0 μB per formula unit
Symmetry ... C2/m, No. 12
E above lowest polymorph ... 2 meV per atom
DFT total energy ... -41.566 eV for the cell shown
Formation energy from the elements ... 0.06 eV per atom
ρ ... 7.4 g/cm3


# 3
The following is a DFT calculation (PBE-GGA) of a relaxed structure of PrNdTm6.

```
PrNdTm6
1.0
5.0072 0.0000 0.0000
0.0000 5.0072 0.0000
0.0000 0.0000 10.0139
Pr Nd Tm
1 1 6
Cartesian
0.0000 0.0000 0.0000
0.0000 0.0000 5.0069
0.0000 2.5036 2.5115
0.0000 2.5036 7.5024
2.5036 0.0000 2.5115
2.5036 0.0000 7.5024
2.5036 2.5036 0.0000
2.5036 2.5036 5.0069
```

Calculated values
Spin magnetization ... 0.0 μB per formula unit
Symmetry ... P4/mmm, No. 123
E above lowest polymorph ... 19 meV per atom
DFT total energy ... -36.139 eV for the cell shown
Formation energy from the elements ... 0.03 eV per atom
ρ ... 8.6 g/cm3


# 4
The following is a DFT calculation (PBE-GGA) of a relaxed structure of Pr3Nd2Tm3.

```
Pr3Nd2Tm3
1.0
-3.0047 3.0163 7.4299
3.0047 -3.0163 7.4299
3.0047 3.0163 -7.4299
Pr Nd Tm
3 2 3
Cartesian
0.0000 0.0000 0.0000
3.0047 0.0000 5.5290
0.0000 3.0163 1.9009
0.0000 0.0000 3.8003
0.0000 0.0000 11.0595
3.0047 0.0000 1.8146
0.0000 0.0000 7.4299
0.0000 3.0163 5.6153
```

Calculated values
Spin magnetization ... 0.0 μB per formula unit
Symmetry ... Immm, No. 71
E above lowest polymorph ... 96 meV per atom
DFT total energy ... -36.352 eV for the cell shown
Formation energy from the elements ... 0.12 eV per atom
ρ ... 7.5 g/cm3


# 5
The following is a DFT calculation (PBE-GGA) of a relaxed structure of Pr5Nd4Tm4.

```
Pr5Nd4Tm4
1.0
-6.5659 6.5659 2.5637
6.5659 -6.5659 2.5637
6.5659 6.5659 -2.5637
Pr Nd Tm
5 4 4
Cartesian
0.0000 0.0000 0.0000
7.1051 4.0405 0.0000
4.0405 6.0267 0.0000
2.5254 0.5392 2.5637
-0.5392 2.5254 2.5637
5.0293 1.0095 0.0000
5.5564 -1.5365 2.5637
1.0095 8.1024 0.0000
1.5365 5.5564 2.5637
10.0797 2.0332 0.0000
2.0332 3.0520 0.0000
4.5326 3.5139 2.5637
-3.5139 4.5326 2.5637
```

Calculated values
Spin magnetization ... 0.0 μB per formula unit
Symmetry ... I4/m, No. 87
DFT total energy ... -60.599 eV for the cell shown
Formation energy from the elements ... 0.02 eV per atom
ρ ... 7.4 g/cm3


# 6
The following is a DFT calculation (PBE-GGA) of a relaxed structure of Pr6Nd5Tm2.

```
Pr6Nd5Tm2
1.0
11.8474 0.0000 0.0000
0.0000 21.1465 0.0000
0.0000 0.0000 3.6697
Pr Nd Tm
12 10 4
Cartesian
0.7559 1.7175 0.0000
0.9927 7.7902 0.0000
2.0519 13.5371 1.8348
3.8718 2.9639 1.8348
4.9310 18.3635 0.0000
5.1678 12.2908 0.0000
6.6797 8.8557 0.0000
6.9164 2.7830 0.0000
7.9756 18.1827 1.8348
9.7956 7.6094 1.8348
10.8547 13.3563 0.0000
11.0915 19.4290 0.0000
0.0000 10.5733 1.8348
1.0358 4.8149 1.8348
2.3260 19.9704 1.8348
3.5977 9.3972 1.8348
4.8879 15.3882 1.8348
5.9237 0.0000 1.8348
6.9595 5.7583 1.8348
8.2497 11.7494 1.8348
9.5215 1.1761 1.8348
10.8116 16.3316 1.8348
1.9980 16.7134 0.0000
3.9257 6.1401 0.0000
7.9217 15.0064 0.0000
9.8494 4.4331 0.0000
```

Calculated values
Spin magnetization ... 0.0 μB per formula unit
Symmetry ... Pbam, No. 55
DFT total energy ... -120.546 eV for the cell shown
Formation energy from the elements ... 0.09 eV per atom
ρ ... 6.9 g/cm3